No. 1
This record from Alexandria describes an optimized crystal structure of Tb3Nd. The functional is PBE.

Cell: 7.2924 7.2924 5.7527 Å, 90.00 90.00 120.00°
With the nearest neighbours (Å) after each atom.
Space group P6_3/mmc (No. 194)
Symmetry-distinct sites (fractional):
Tb 0.1662 0.3323 0.2500 [6 per cell]  8 Tb 3.56-3.66, 4 Nd 3.57-3.65
Nd 0.3333 0.6667 0.7500 [2 per cell]  12 Tb 3.57-3.65

Calculated formation energy   17 meV per atom
Polymorph energy (0 for the lowest one)   0.002 eV per atom
D(E_F)   1.801 states/eV/atom
V   264.9 Å³ per cell
Theoretical density   7.78 g/cm³

No. 2
This record from Alexandria describes an optimized crystal structure of Tb6Nd5. The functional is PBE.

Cell: 5.6421 8.2298 16.1357 Å, 90.00 90.00 90.00°
With the nearest neighbours (Å) after each atom.
Space group Immm (No. 71)
Symmetry-distinct sites (fractional):
Tb 0.0000 0.2055 0.0000 [4 per cell]  5 Tb 3.38-3.58, 6 Nd 3.56-3.72
Tb 0.0000 0.2950 0.3639 [8 per cell]  4 Nd 3.27-3.60, 3 Tb 3.37-3.58
Nd 0.0000 0.0000 0.1990 [4 per cell]  8 Tb 3.44-3.63, 2 Nd 3.61
Nd 0.0000 0.0000 0.5000 [2 per cell]  4 Tb 3.27
Nd 0.0000 0.5000 0.1618 [4 per cell]  8 Tb 3.56-3.75, 4 Nd 3.61-3.84

Calculated formation energy   112 meV per atom
Polymorph energy (0 for the lowest one)   0.000 eV per atom
D(E_F)   1.450 states/eV/atom
V   749.2 Å³ per cell
Theoretical density   7.42 g/cm³

No. 3
This record from Alexandria describes an optimized crystal structure of TbNd. The functional is PBE.

Cell: 12.5500 5.9931 3.7346 Å, 90.00 106.78 90.00°
With the nearest neighbours (Å) after each atom.
Space group C2/m (No. 12)
Symmetry-distinct sites (fractional):
Tb 0.1200 0.0000 0.3843 [4 per cell]  4 Tb 3.36-3.73, 6 Nd 3.45-3.61
Nd 0.1312 0.5000 0.9143 [4 per cell]  6 Tb 3.45-3.61, 4 Nd 3.53-3.81

Calculated formation energy   111 meV per atom
Polymorph energy (0 for the lowest one)   0.097 eV per atom
D(E_F)   1.865 states/eV/atom
V   268.9 Å³ per cell
Theoretical density   7.49 g/cm³

No. 4
This record from Alexandria describes an optimized crystal structure of Tb6Nd7. The functional is PBE.

Cell: 6.6832 6.6832 34.6395 Å, 90.00 90.00 120.00°
With the nearest neighbours (Å) after each atom.
Space group R-3m (No. 166, hexagonal axes)
Symmetry-distinct sites (fractional):
Tb 0.0000 0.0000 0.0455 [6 per cell]  1 Tb 3.15
Tb 0.0000 0.0000 0.1477 [6 per cell]  1 Tb 3.54, 12 Nd 3.87-3.94
Tb 0.0000 0.0000 0.3349 [6 per cell]  6 Nd 3.59-3.60, 3 Tb 3.86
Nd 0.0000 0.0000 0.5000 [3 per cell]  6 Nd 3.39
Nd 0.0127 0.5063 0.9124 [18 per cell]  5 Nd 3.21-3.47, 1 Tb 3.59

Calculated formation energy   247 meV per atom
D(E_F)   2.114 states/eV/atom
V   1339.9 Å³ per cell
Theoretical density   7.30 g/cm³

No. 5
This record from Alexandria describes an optimized crystal structure of Tb7Nd6. The functional is PBE.

Cell: 6.6702 6.6702 35.0803 Å, 90.00 90.00 120.00°
With the nearest neighbours (Å) after each atom.
Space group R-3m (No. 166, hexagonal axes)
Symmetry-distinct sites (fractional):
Tb 0.0000 0.0000 0.0000 [3 per cell]  6 Tb 3.43
Tb 0.0032 0.5016 0.4138 [18 per cell]  5 Tb 3.30-3.43, 4 Nd 3.58-3.60
Nd 0.0000 0.0000 0.1664 [6 per cell]  6 Tb 3.58-3.59, 3 Nd 3.85
Nd 0.0000 0.0000 0.3491 [6 per cell]  4 Nd 3.62-4.01, 12 Tb 3.88-4.03
Nd 0.0000 0.0000 0.4525 [6 per cell]  2 Nd 3.34-3.62, 6 Tb 3.60

Calculated formation energy   254 meV per atom
D(E_F)   2.308 states/eV/atom
V   1351.7 Å³ per cell
Theoretical density   7.29 g/cm³

No. 6
This record from Alexandria describes an optimized crystal structure of Tb3Nd5. The functional is PBE.

Cell: 3.6417 3.6417 20.5470 Å, 90.00 90.00 90.00°
With the nearest neighbours (Å) after each atom.
Space group P4/mmm (No. 123)
Symmetry-distinct sites (fractional):
Tb 0.0000 0.0000 0.0000 [1 per cell]  8 Nd 3.63, 4 Tb 3.64
Tb 0.5000 0.5000 0.3764 [2 per cell]  8 Nd 3.62-3.63, 4 Tb 3.64
Nd 0.0000 0.0000 0.2521 [2 per cell]  4 Tb 3.63, 8 Nd 3.64-3.68
Nd 0.0000 0.0000 0.5000 [1 per cell]  8 Tb 3.62, 4 Nd 3.64
Nd 0.5000 0.5000 0.1243 [2 per cell]  4 Tb 3.63, 8 Nd 3.64-3.68

Calculated formation energy   18 meV per atom
D(E_F)   1.464 states/eV/atom
V   272.5 Å³ per cell
Theoretical density   7.30 g/cm³

No. 7
This record from Alexandria describes an optimized crystal structure of Tb4Nd. The functional is PBE.

Cell: 5.6754 5.6754 5.6754 Å, 90.00 90.00 90.00°
With the nearest neighbours (Å) after each atom.
Space group Pm-3m (No. 221)
Symmetry-distinct sites (fractional):
Tb 0.0000 0.0000 0.0000 [1 per cell]  12 Tb 4.01
Tb 0.0000 0.5000 0.5000 [3 per cell]  2 Nd 2.84
Nd 0.5000 0.5000 0.5000 [1 per cell]  6 Tb 2.84

Calculated formation energy   663 meV per atom
Polymorph energy (0 for the lowest one)   0.650 eV per atom
D(E_F)   1.662 states/eV/atom
V   182.8 Å³ per cell
Theoretical density   7.08 g/cm³

No. 8
This record from Alexandria describes an optimized crystal structure of Tb4NdTc. The functional is PBE.

Cell: 9.4520 12.7943 6.2508 Å, 90.00 107.68 90.00°
With the nearest neighbours (Å) after each atom.
Space group C2/c (No. 15)
Symmetry-distinct sites (fractional):
Tb 0.1029 0.1671 0.0508 [8 per cell]  2 Tc 2.76-2.85
Tb 0.2407 0.4070 0.3753 [8 per cell]  2 Tc 3.05, 1 Nd 3.36, 1 Tb 3.40
Nd 0.0000 0.3926 0.7500 [4 per cell]  8 Tb 3.36-3.73
Tc 0.0000 0.0033 0.2500 [4 per cell]  8 Tb 2.76-3.05

Calculated formation energy   12 meV per atom
D(E_F)   1.201 states/eV/atom
V   720.2 Å³ per cell
Theoretical density   8.10 g/cm³